Entry 1:
Entry from Alexandria: crystalline Ho3SBr3 at its relaxed geometry (PBE).

## Properties
SG: R-3, No. 148
crystal system: trigonal
energy: -4.9074 eV/atom

a = 6.7506 Å, b = 6.7506 Å, c = 11.2434 Å
α = 72.53°, β = 72.53°, γ = 60.00°
With the nearest neighbours (Å) after each atom.
Fractional positions:
Ho 0.9544 0.2920 0.1369  2 S 2.66, 3 Br 2.89-2.92
Ho 0.6167 0.9544 0.1369  2 S 2.66, 3 Br 2.89-2.92
Ho 0.2920 0.6167 0.1369  2 S 2.66, 3 Br 2.89-2.92
Ho 0.7080 0.3833 0.8631  2 S 2.66, 3 Br 2.89-2.92
Ho 0.3833 0.0456 0.8631  2 S 2.66, 3 Br 2.89-2.92
Ho 0.0456 0.7080 0.8631  2 S 2.66, 3 Br 2.89-2.92
S 0.6667 0.6667 0.0000  6 Ho 2.66
S 0.3333 0.3333 0.0000  6 Ho 2.66
Br 0.2286 0.8961 0.3114  3 Ho 2.89-2.92
Br 0.5638 0.2286 0.3114  3 Ho 2.89-2.92
Br 0.8961 0.5638 0.3114  3 Ho 2.89-2.92
Br 0.1039 0.4362 0.6886  3 Ho 2.89-2.92
Br 0.4362 0.7714 0.6886  3 Ho 2.89-2.92
Br 0.7714 0.1039 0.6886  3 Ho 2.89-2.92

=====

Entry 2:
Entry from Alexandria: crystalline HoS2Br at its relaxed geometry (PBE).

## Properties
SG: R-3m, No. 166
crystal system: trigonal
energy: -4.8227 eV/atom

a = 4.1333 Å, b = 4.1333 Å, c = 8.0241 Å
α = 75.07°, β = 75.07°, γ = 60.00°
With the nearest neighbours (Å) after each atom.
Fractional positions:
S 0.1076 0.1076 0.6772  1 Br 2.47, 3 Ho 2.75
S 0.8924 0.8924 0.3228  1 Br 2.47, 3 Ho 2.75
Ho 0.5000 0.5000 0.5000  6 S 2.75
Br 0.0000 0.0000 0.0000  2 S 2.47

=====

Entry 3:
Entry from Alexandria: crystalline HoScBr3 at its relaxed geometry (PBE).

## Properties
SG: C2/m, No. 12
crystal system: monoclinic
energy: -4.6306 eV/atom

a = 3.7512 Å, b = 9.3454 Å, c = 9.7930 Å
α = 72.28°, β = 78.96°, γ = 78.42°
With the nearest neighbours (Å) after each atom.
Fractional positions:
Ho 0.1332 0.0132 0.7204  5 Br 2.82-3.00
Ho 0.8668 0.9868 0.2796  5 Br 2.82-3.00
Sc 0.4340 0.1703 0.9616  4 Br 2.79-2.81, 1 Sc 3.00
Sc 0.5660 0.8297 0.0384  4 Br 2.79-2.81, 1 Sc 3.00
Br 0.6676 0.1720 0.4928  3 Ho 2.94-3.00
Br 0.3324 0.8280 0.5072  3 Ho 2.94-3.00
Br 0.2047 0.7060 0.8847  2 Sc 2.81, 1 Ho 2.82
Br 0.7953 0.2940 0.1153  2 Sc 2.81, 1 Ho 2.82
Br 0.9670 0.3127 0.7533  2 Sc 2.79, 1 Ho 2.85
Br 0.0330 0.6873 0.2467  2 Sc 2.79, 1 Ho 2.85

=====

Entry 4:
Entry from Alexandria: crystalline Ho2ScBr at its relaxed geometry (PBE).

## Properties
SG: R-3m, No. 166
crystal system: trigonal
energy: -4.4563 eV/atom

a = 3.4045 Å, b = 3.4045 Å, c = 11.3414 Å
α = 81.37°, β = 81.37°, γ = 60.00°
With the nearest neighbours (Å) after each atom.
Fractional positions:
Sc 0.0000 0.0000 0.0000  2 Ho 3.21, 6 Sc 3.40
Ho 0.0957 0.0957 0.7130  3 Br 3.09, 1 Sc 3.21, 6 Ho 3.40
Ho 0.9043 0.9043 0.2870  3 Br 3.09, 1 Sc 3.21, 6 Ho 3.40
Br 0.5000 0.5000 0.5000  6 Ho 3.09, 6 Br 3.40

=====

Entry 5:
Entry from Alexandria: crystalline HoSc2Br at its relaxed geometry (PBE).

## Properties
SG: R-3m, No. 166
crystal system: trigonal
energy: -5.1620 eV/atom

a = 3.4826 Å, b = 3.4826 Å, c = 9.8059 Å
α = 79.77°, β = 79.77°, γ = 60.00°
With the nearest neighbours (Å) after each atom.
Fractional positions:
Sc 0.7418 0.7418 0.7745  3 Br 2.95
Sc 0.2582 0.2582 0.2255  3 Br 2.95
Ho 0.5000 0.5000 0.5000  6 Sc 3.31, 6 Ho 3.48
Br 0.0000 0.0000 0.0000  6 Sc 2.95

=====

Entry 6:
Entry from Alexandria: crystalline Ho3SeBr7 at its relaxed geometry (PBE).

## Properties
SG: P3m1, No. 156
crystal system: trigonal
energy: -4.4875 eV/atom

a = 7.0001 Å, b = 8.2583 Å, c = 8.2583 Å
α = 120.00°, β = 90.00°, γ = 90.00°
With the nearest neighbours (Å) after each atom.
Fractional positions:
Ho 0.7760 0.4939 0.5061  1 Se 2.76, 5 Br 2.81-2.97
Ho 0.7760 0.4939 0.9878  1 Se 2.76, 5 Br 2.81-2.97
Ho 0.7760 0.0122 0.5061  1 Se 2.76, 5 Br 2.81-2.97
Se 0.5574 0.3333 0.6667  3 Ho 2.76
Br 0.0080 0.1730 0.8270  2 Ho 2.81
Br 0.0080 0.1730 0.3460  2 Ho 2.81
Br 0.0123 0.6667 0.3333  3 Ho 2.97
Br 0.5644 0.8263 0.1737  2 Ho 2.81
Br 0.5644 0.3474 0.1737  2 Ho 2.81
Br 0.5644 0.8263 0.6526  2 Ho 2.81
Br 0.0080 0.6540 0.8270  2 Ho 2.81